1.
This record from the Alexandria database describes a geometry-optimized Al2SeBr structure. The functional is PBE.

## Properties
ΔE_f (raw) (eV per formula unit): -0.76
Energy relative to the lowest polymorph listed for this composition (meV/atom): 340
Raw total energy (eV per atom): -3.351
Fermi-level density of states (states/eV/cell): 3.832

Cell: 7.0197 4.0599 7.2553 Å, 90.00 108.50 90.00°
Last column: nearest neighbours and their distance in Å.
Space group C2/m (No. 12)
Inequivalent atoms, fractional coordinates:
1 Al 0.2388 0.0000 0.2201 (multiplicity 4)  3 Se 2.79, 3 Br 3.02-3.04
2 Se 0.0000 0.5000 0.0000 (multiplicity 2)  6 Al 2.79
3 Br 0.0000 0.0000 0.5000 (multiplicity 2)  6 Al 3.02-3.04

***

2.
This record from the Alexandria database describes a geometry-optimized Al2SeBr8 structure. The functional is PBE.

## Properties
ΔE_f (raw) (eV per formula unit): -8.83
Raw total energy (eV per atom): -3.016
Fermi-level density of states (states/eV/cell): 0.000

Cell: 13.1403 9.0516 7.9723 Å, 90.00 98.43 90.00°
Last column: nearest neighbours and their distance in Å.
Space group C2/m (No. 12)
Inequivalent atoms, fractional coordinates:
1 Al 0.2162 0.0000 0.3161 (multiplicity 4)  4 Br 2.26-2.42
2 Se 0.0000 0.0000 0.0000 (multiplicity 2)  4 Br 2.63
3 Br 0.1189 0.5000 0.7357 (multiplicity 4)  1 Al 2.26
4 Br 0.1212 0.2002 0.1645 (multiplicity 8)  1 Al 2.42, 1 Se 2.63
5 Br 0.1894 0.0000 0.5914 (multiplicity 4)  1 Al 2.27